Entry 1:
NaTaI2: relaxed, PBE.

energy above the lowest structure with this stoichiometry = 0 meV per atom
SG = Fm-3m (225)
DFT total energy = -14.67 eV for the cell shown
M_tot = 0.00 μB per formula unit

Cell: 5.072 5.072 5.072 Å, 60.00 60.00 60.00°
Sites, in units of the cell vectors:
Na1 0.000 0.000 0.000
Ta1 0.500 0.500 0.500
I1 0.250 0.250 0.250
I2 0.750 0.750 0.750

---

Entry 2:
Na2TaI2: relaxed, PBE.

energy above the lowest structure with this stoichiometry = 198 meV per atom
SG = I4/mmm (139)
DFT total energy = -14.44 eV for the cell shown
M_tot = 4.58 μB per formula unit

Cell: 6.575 6.575 6.575 Å, 126.27 126.27 79.44°
Sites, in units of the cell vectors:
Na1 0.168 0.168 0.000
Na2 0.832 0.832 0.000
Ta1 0.500 0.500 0.000
I1 0.250 0.750 0.500
I2 0.750 0.250 0.500

---

Entry 3:
NaTa2TcI: relaxed, PBE.

SG = P4/mmm (123)
DFT total energy = -25.90 eV for the cell shown
M_tot = 1.50 μB per formula unit

Cell: 5.042 5.042 5.000 Å, 90.00 90.00 90.00°
Sites, in units of the cell vectors:
Na1 0.000 0.000 0.000
Ta1 0.000 0.500 0.500
Ta2 0.500 0.000 0.500
Tc1 0.500 0.500 0.000
I1 0.000 0.000 0.500

---

Entry 4:
NaTaTeI2: relaxed, PBE.

energy above the lowest structure with this stoichiometry = 0 meV per atom
SG = P4/mmm (123)
DFT total energy = -20.06 eV for the cell shown
M_tot = 1.86 μB per formula unit

Cell: 5.860 5.860 5.395 Å, 90.00 90.00 90.00°
Sites, in units of the cell vectors:
Na1 0.000 0.000 0.000
Ta1 0.500 0.500 0.500
Te1 0.500 0.500 0.000
I1 0.000 0.500 0.500
I2 0.500 0.000 0.500

---

Entry 5:
NaTaTe2I: relaxed, PBE.

energy above the lowest structure with this stoichiometry = 0 meV per atom
SG = P4/mmm (123)
DFT total energy = -21.82 eV for the cell shown
M_tot = 0.74 μB per formula unit

Cell: 5.427 5.427 5.987 Å, 90.00 90.00 90.00°
Sites, in units of the cell vectors:
Na1 0.000 0.000 0.000
Ta1 0.500 0.500 0.500
Te1 0.000 0.500 0.500
Te2 0.500 0.000 0.500
I1 0.500 0.500 0.000

---

Entry 6:
Na2Tb2I7: relaxed, PBE.

SG = C2/m (12)
DFT total energy = -35.43 eV for the cell shown
M_tot = 0.91 μB per formula unit

Cell: 8.246 8.246 7.661 Å, 92.49 92.49 69.05°
Sites, in units of the cell vectors:
Na1 0.211 0.789 0.000
Na2 0.789 0.211 0.000
Tb1 0.269 0.269 0.543
Tb2 0.731 0.731 0.457
I1 0.022 0.588 0.748
I2 0.080 0.080 0.731
I3 0.412 0.978 0.252
I4 0.500 0.500 0.500
I5 0.588 0.022 0.748
I6 0.920 0.920 0.269
I7 0.978 0.412 0.252

---

Entry 7:
NaTb2I6: relaxed, PBE.

SG = P-31m (162)
DFT total energy = -31.27 eV for the cell shown
M_tot = 0.01 μB per formula unit

Cell: 7.579 7.579 7.591 Å, 90.00 90.00 120.00°
Sites, in units of the cell vectors:
Na1 0.000 0.000 0.000
Tb1 0.333 0.667 0.500
Tb2 0.667 0.333 0.500
I1 0.000 0.345 0.740
I2 0.000 0.655 0.260
I3 0.345 0.000 0.740
I4 0.345 0.345 0.260
I5 0.655 0.000 0.260
I6 0.655 0.655 0.740

---

Entry 8:
Na3TbI6: relaxed, PBE.

SG = P2_1/c (14)
DFT total energy = -61.58 eV for the cell shown
M_tot = 0.00 μB per formula unit

Cell: 7.825 8.391 14.177 Å, 90.00 123.44 90.00°
Sites, in units of the cell vectors:
Na1 0.000 0.000 0.000
Na2 0.000 0.500 0.500
Na3 0.284 0.100 0.743
Na4 0.284 0.400 0.243
Na5 0.716 0.600 0.757
Na6 0.716 0.900 0.257
Tb1 0.500 0.000 0.500
Tb2 0.500 0.500 0.000
I1 0.114 0.055 0.263
I2 0.114 0.445 0.763
I3 0.254 0.680 0.072
I4 0.254 0.820 0.572
I5 0.411 0.190 0.078
I6 0.411 0.310 0.578
I7 0.589 0.690 0.422
I8 0.589 0.810 0.922
I9 0.746 0.180 0.428
I10 0.746 0.320 0.928
I11 0.886 0.555 0.237
I12 0.886 0.945 0.737

---

Entry 9:
Na2TbI6: relaxed, PBE.

SG = P2_1/c (14)
DFT total energy = -52.60 eV for the cell shown
M_tot = 0.64 μB per formula unit

Cell: 7.914 8.623 12.894 Å, 90.00 122.13 90.00°
Sites, in units of the cell vectors:
Na1 0.157 0.148 0.185
Na2 0.157 0.352 0.685
Na3 0.843 0.648 0.315
Na4 0.843 0.852 0.815
Tb1 0.500 0.000 0.000
Tb2 0.500 0.500 0.500
I1 0.109 0.175 0.910
I2 0.109 0.325 0.410
I3 0.279 0.693 0.949
I4 0.279 0.807 0.449
I5 0.430 0.027 0.746
I6 0.430 0.473 0.246
I7 0.570 0.527 0.754
I8 0.570 0.973 0.254
I9 0.721 0.193 0.551
I10 0.721 0.307 0.051
I11 0.891 0.675 0.590
I12 0.891 0.825 0.090

---

Entry 10:
NaTbI: relaxed, PBE.

SG = C2/m (12)
DFT total energy = -18.59 eV for the cell shown
M_tot = 0.13 μB per formula unit

Cell: 3.920 3.920 15.417 Å, 97.37 97.37 59.99°
Sites, in units of the cell vectors:
Na1 0.198 0.198 0.095
Na2 0.802 0.802 0.905
Tb1 0.303 0.303 0.410
Tb2 0.697 0.697 0.590
I1 0.415 0.415 0.741
I2 0.585 0.585 0.259

---

Entry 11:
Na4Tb2I9: relaxed, PBE.

SG = P-1 (2)
DFT total energy = -95.50 eV for the cell shown
M_tot = 1.00 μB per formula unit

Cell: 8.064 8.068 21.664 Å, 89.92 89.95 60.03°
Sites, in units of the cell vectors:
Na1 0.165 0.166 0.170
Na2 0.166 0.167 0.985
Na3 0.167 0.167 0.484
Na4 0.169 0.165 0.671
Na5 0.831 0.835 0.329
Na6 0.833 0.833 0.516
Na7 0.834 0.833 0.015
Na8 0.835 0.834 0.830
Tb1 0.499 0.502 0.165
Tb2 0.500 0.499 0.335
Tb3 0.500 0.501 0.665
Tb4 0.501 0.498 0.835
I1 0.168 0.521 0.413
I2 0.171 0.810 0.912
I3 0.187 0.813 0.250
I4 0.188 0.482 0.088
I5 0.188 0.500 0.750
I6 0.189 0.833 0.587
I7 0.479 0.191 0.587
I8 0.480 0.832 0.087
I9 0.497 0.189 0.250
I10 0.503 0.811 0.750
I11 0.520 0.168 0.913
I12 0.521 0.809 0.413
I13 0.811 0.167 0.413
I14 0.812 0.500 0.250
I15 0.812 0.518 0.912
I16 0.813 0.187 0.750
I17 0.829 0.190 0.088
I18 0.832 0.479 0.587

---

Entry 12:
Na2TcI: relaxed, PBE.

energy above the lowest structure with this stoichiometry = 0 meV per atom
SG = I-42d (122)
DFT total energy = -23.51 eV for the cell shown
M_tot = 2.29 μB per formula unit

Cell: 6.731 6.731 6.731 Å, 99.96 99.96 130.85°
Sites, in units of the cell vectors:
Na1 0.124 0.625 0.999
Na2 0.375 0.374 0.499
Na3 0.626 0.125 0.001
Na4 0.875 0.876 0.501
Tc1 0.000 0.000 0.000
Tc2 0.750 0.250 0.500
I1 0.250 0.750 0.500
I2 0.500 0.500 0.000

---

Entry 13:
NaTcI2: relaxed, PBE.

energy above the lowest structure with this stoichiometry = 0 meV per atom
SG = I-42d (122)
DFT total energy = -27.81 eV for the cell shown
M_tot = 1.59 μB per formula unit

Cell: 8.107 8.107 8.107 Å, 132.06 132.06 70.13°
Sites, in units of the cell vectors:
Na1 0.000 0.000 0.000
Na2 0.750 0.250 0.500
Tc1 0.250 0.750 0.500
Tc2 0.500 0.500 0.000
I1 0.184 0.625 0.059
I2 0.375 0.434 0.559
I3 0.566 0.125 0.941
I4 0.875 0.816 0.441

---

Entry 14:
Na3TcI: relaxed, PBE.

energy above the lowest structure with this stoichiometry = 0 meV per atom
SG = Pm-3m (221)
DFT total energy = -12.26 eV for the cell shown
M_tot = 3.10 μB per formula unit

Cell: 5.893 5.893 5.893 Å, 90.00 90.00 90.00°
Sites, in units of the cell vectors:
Na1 0.000 0.000 0.500
Na2 0.000 0.500 0.000
Na3 0.500 0.000 0.000
Tc1 0.000 0.000 0.000
I1 0.500 0.500 0.500

---

Entry 15:
NaTc3I: relaxed, PBE.

energy above the lowest structure with this stoichiometry = 0 meV per atom
SG = Pm-3m (221)
DFT total energy = -24.64 eV for the cell shown
M_tot = 2.65 μB per formula unit

Cell: 4.894 4.894 4.894 Å, 90.00 90.00 90.00°
Sites, in units of the cell vectors:
Na1 0.000 0.000 0.000
Tc1 0.000 0.500 0.500
Tc2 0.500 0.000 0.500
Tc3 0.500 0.500 0.000
I1 0.500 0.500 0.500

---

Entry 16:
Na2TcI: relaxed, PBE.

energy above the lowest structure with this stoichiometry = 69 meV per atom
SG = Fm-3m (225)
DFT total energy = -11.48 eV for the cell shown
M_tot = 4.00 μB per formula unit

Cell: 5.490 5.490 5.490 Å, 60.00 60.00 60.00°
Sites, in units of the cell vectors:
Na1 0.250 0.250 0.250
Na2 0.750 0.750 0.750
Tc1 0.000 0.000 0.000
I1 0.500 0.500 0.500

---

Entry 17:
NaTcI2: relaxed, PBE.

energy above the lowest structure with this stoichiometry = 198 meV per atom
SG = Fm-3m (225)
DFT total energy = -13.11 eV for the cell shown
M_tot = 2.00 μB per formula unit

Cell: 5.166 5.166 5.166 Å, 60.00 60.00 60.00°
Sites, in units of the cell vectors:
Na1 0.000 0.000 0.000
Tc1 0.500 0.500 0.500
I1 0.250 0.250 0.250
I2 0.750 0.750 0.750

---

Entry 18:
NaTc3I: relaxed, PBE.

energy above the lowest structure with this stoichiometry = 760 meV per atom
SG = Pm-3m (221)
DFT total energy = -20.85 eV for the cell shown
M_tot = 8.94 μB per formula unit

Cell: 4.828 4.828 4.828 Å, 90.00 90.00 90.00°
Sites, in units of the cell vectors:
Na1 0.000 0.000 0.000
Tc1 0.000 0.000 0.500
Tc2 0.000 0.500 0.000
Tc3 0.500 0.000 0.000
I1 0.500 0.500 0.500

---

Entry 19:
Na2TcI8: relaxed, PBE.

SG = C2/m (12)
DFT total energy = -30.39 eV for the cell shown
M_tot = 3.07 μB per formula unit

Cell: 9.066 9.066 7.759 Å, 112.54 112.54 90.57°
Sites, in units of the cell vectors:
Na1 0.171 0.171 0.125
Na2 0.829 0.829 0.875
Tc1 0.000 0.000 0.500
I1 0.121 0.819 0.719
I2 0.181 0.879 0.281
I3 0.255 0.255 0.790
I4 0.422 0.422 0.578
I5 0.578 0.578 0.422
I6 0.745 0.745 0.210
I7 0.819 0.121 0.719
I8 0.879 0.181 0.281

---

Entry 20:
Na3TcI8: relaxed, PBE.

SG = C222 (21)
DFT total energy = -33.72 eV for the cell shown
M_tot = 2.92 μB per formula unit

Cell: 7.505 7.505 9.733 Å, 90.00 90.00 116.87°
Sites, in units of the cell vectors:
Na1 0.000 0.000 0.000
Na2 0.000 0.500 0.752
Na3 0.500 0.000 0.248
Tc1 0.000 0.000 0.500
I1 0.215 0.785 0.500
I2 0.244 0.245 0.703
I3 0.245 0.244 0.297
I4 0.246 0.754 0.000
I5 0.754 0.246 0.000
I6 0.755 0.756 0.297
I7 0.756 0.755 0.703
I8 0.785 0.215 0.500

---

Entry 21:
Na3TcI: relaxed, PBE.

energy above the lowest structure with this stoichiometry = 3 meV per atom
SG = Pm-3m (221)
DFT total energy = -12.24 eV for the cell shown
M_tot = 3.35 μB per formula unit

Cell: 5.857 5.857 5.857 Å, 90.00 90.00 90.00°
Sites, in units of the cell vectors:
Na1 0.000 0.000 0.500
Na2 0.000 0.500 0.000
Na3 0.500 0.000 0.000
Tc1 0.500 0.500 0.500
I1 0.000 0.000 0.000

---

Entry 22:
NaTcTe2I: relaxed, PBE.

energy above the lowest structure with this stoichiometry = 0 meV per atom
SG = P4/mmm (123)
DFT total energy = -19.43 eV for the cell shown
M_tot = 0.00 μB per formula unit

Cell: 5.169 5.169 6.114 Å, 90.00 90.00 90.00°
Sites, in units of the cell vectors:
Na1 0.000 0.000 0.000
Tc1 0.500 0.500 0.500
Te1 0.000 0.500 0.500
Te2 0.500 0.000 0.500
I1 0.500 0.500 0.000

---

Entry 23:
Na2TcWI: relaxed, PBE.

SG = P4/mmm (123)
DFT total energy = -21.61 eV for the cell shown
M_tot = 0.48 μB per formula unit

Cell: 6.043 6.043 4.550 Å, 90.00 90.00 90.00°
Sites, in units of the cell vectors:
Na1 0.000 0.500 0.000
Na2 0.500 0.000 0.000
Tc1 0.000 0.000 0.500
W1 0.000 0.000 0.000
I1 0.500 0.500 0.500